# 1
DFT (PBE-GGA) results for a geometry-optimized Tb7Y3Er2 structure.

Lattice parameters (Å, degrees): 5.7820 3.5791 18.6538 90.00 93.52 90.00
With the nearest neighbours (Å) after each atom.
Fractional coordinates of all 12 atoms:
Tb 0.0000 0.0000 0.0000  4 Tb 3.36-3.58, 4 Y 3.40
Tb 0.1839 0.5000 0.1798  6 Tb 3.44-3.58, 2 Er 3.60
Tb 0.2579 0.5000 0.5364  1 Er 3.14, 2 Tb 3.19-3.20
Tb 0.3175 0.0000 0.8553  2 Er 3.32, 2 Y 3.35, 7 Tb 3.36-3.58
Tb 0.6825 0.0000 0.1447  2 Er 3.32, 2 Y 3.35, 7 Tb 3.36-3.58
Tb 0.7421 0.5000 0.4636  1 Er 3.14, 2 Tb 3.19-3.20
Tb 0.8161 0.5000 0.8202  6 Tb 3.44-3.58, 2 Er 3.60
Y 0.2184 0.0000 0.3671  2 Y 3.58, 8 Tb 3.62-3.92, 4 Er 3.64-3.67
Y 0.5000 0.5000 0.0000  8 Tb 3.35-3.40, 2 Y 3.58
Y 0.7816 0.0000 0.6329  2 Y 3.58, 8 Tb 3.62-3.92, 4 Er 3.64-3.67
Er 0.2935 0.5000 0.7049  3 Tb 3.14-3.32
Er 0.7065 0.5000 0.2951  3 Tb 3.14-3.32

Summary:
Its crystal system is monoclinic. As for the formation energy: 86 meV per atom. The calculation puts the density at 7.39 g/cm³. As for the energy above the most stable polymorph in this dataset: 0 meV/atom. The density of states at the Fermi level is 1.31 states/eV/atom.


# 2
DFT (PBE-GGA) results for a geometry-optimized Ce4Hg2Ge structure.

Lattice parameters (Å, degrees): 6.3766 6.3766 5.4959 90.00 90.00 114.83
With the nearest neighbours (Å) after each atom.
Fractional coordinates of all 7 atoms:
Ce 0.0000 0.5000 0.5000  2 Ge 3.19, 4 Hg 3.26, 2 Ce 3.43
Ce 0.2004 0.2004 0.0000  1 Ce 2.75, 2 Ge 3.07
Ce 0.5000 0.0000 0.5000  2 Ge 3.19, 4 Hg 3.26, 2 Ce 3.43
Ce 0.7996 0.7996 0.0000  1 Ce 2.75, 2 Ge 3.07
Hg 0.2800 0.7200 0.0000  8 Ce 3.13-3.31, 2 Hg 3.49
Hg 0.7200 0.2800 0.0000  8 Ce 3.13-3.31, 2 Hg 3.49
Ge 0.0000 0.0000 0.5000  8 Ce 3.07-3.19

Summary:
Its crystal system is orthorhombic. As for the formation energy: -267 meV per atom. The calculation puts the density at 8.47 g/cm³. As for the energy above the most stable polymorph in this dataset: 37 meV/atom. The density of states at the Fermi level is 3.16 states/eV/atom.


Look up the energy above the most stable polymorph in this dataset of the second one.
37 meV/atom